The following is a DFT calculation (PBE-GGA) of a geometry-optimized Nd4GeTe2S structure.

Lattice parameters (Å, degrees): 8.7127 8.7127 8.7174 120.02 120.02 90.01
With the nearest neighbours (Å) after each atom.
Positions (direct):
Te 0.5000 0.5000 0.0000  6 Nd 3.20-3.22
Nd 0.7612 0.7388 0.5219  1 Ge 2.95, 2 S 2.95, 3 Te 3.22
Nd 0.2388 0.2612 0.4781  1 Ge 2.95, 2 S 2.95, 3 Te 3.22
S 0.5000 0.5000 0.5000  6 Nd 2.95-2.97
Nd 0.7788 0.2600 0.0194  2 Ge 2.97, 1 S 2.97, 3 Te 3.20
Ge 0.0000 0.5000 0.0000  6 Nd 2.95-2.97
Te 0.0000 0.0000 0.5000  6 Nd 3.20-3.22
Nd 0.7600 0.2788 0.5194  2 Ge 2.97, 1 S 2.97, 3 Te 3.20
Nd 0.2388 0.2612 0.0219  1 Ge 2.95, 2 S 2.95, 3 Te 3.22
Ge 0.0000 0.5000 0.5000  6 Nd 2.95-2.97
Nd 0.7612 0.7388 0.9781  1 Ge 2.95, 2 S 2.95, 3 Te 3.22
Te 0.5000 0.0000 0.5000  6 Nd 3.20-3.22
Nd 0.2212 0.7400 0.9806  2 Ge 2.97, 1 S 2.97, 3 Te 3.20
Nd 0.2400 0.7212 0.4806  2 Ge 2.97, 1 S 2.97, 3 Te 3.20
Te 0.5000 0.0000 0.0000  6 Nd 3.20-3.22
S 0.0000 0.0000 0.0000  6 Nd 2.95-2.97

Calculated values
The value obtained for the calculated density is 6.7 g/cm³. Its space group is Imma. Its density of states at the Fermi level is 3.51 states/eV/f.u. For the formation energy from raw total energies, the calculation gives -1493.9 meV/atom.

***

The following is a DFT calculation (PBE-GGA) of a geometry-optimized Tm6BiSb3Te2 structure.

Lattice parameters (Å, degrees): 7.5266 7.5266 7.5232 99.55 99.55 120.08
With the nearest neighbours (Å) after each atom.
Positions (direct):
Tm 0.4183 0.0868 0.2598  3 Sb 3.02-3.04, 1 Bi 3.10, 2 Te 3.11-3.12
Tm 0.7556 0.7556 0.2604  3 Sb 3.03-3.04, 1 Bi 3.10, 2 Te 3.12
Sb 0.5000 0.5000 0.5000  6 Tm 3.03-3.04
Bi 0.0000 0.0000 0.0000  6 Tm 3.10
Tm 0.0868 0.4183 0.2598  3 Sb 3.02-3.04, 1 Bi 3.10, 2 Te 3.11-3.12
Tm 0.9132 0.5817 0.7402  3 Sb 3.02-3.04, 1 Bi 3.10, 2 Te 3.11-3.12
Sb 0.1676 0.8324 0.5000  6 Tm 3.02-3.04
Te 0.6663 0.3337 0.0000  6 Tm 3.11-3.12
Sb 0.8324 0.1676 0.5000  6 Tm 3.02-3.04
Tm 0.2444 0.2444 0.7396  3 Sb 3.03-3.04, 1 Bi 3.10, 2 Te 3.12
Te 0.3337 0.6663 0.0000  6 Tm 3.11-3.12
Tm 0.5817 0.9132 0.7402  3 Sb 3.02-3.04, 1 Bi 3.10, 2 Te 3.11-3.12

Calculated values
The value obtained for the calculated density is 8.8 g/cm³. Its space group is C2/m. Its density of states at the Fermi level is 1.98 states/eV/f.u. For the formation energy from raw total energies, the calculation gives -1104.2 meV/atom.

***

The following is a DFT calculation (PBE-GGA) of a geometry-optimized Pa2Cu17 structure.

Lattice parameters (Å, degrees): 6.4484 6.4484 6.4484 82.98 82.98 82.98
With the nearest neighbours (Å) after each atom.
Positions (direct):
Cu 0.0000 0.0000 0.5000  10 Cu 2.45-2.60
Cu 0.0000 0.7030 0.2970  8 Cu 2.45-2.61
Cu 0.1538 0.6507 0.6507  9 Cu 2.48-2.68
Cu 0.5000 0.0000 0.0000  10 Cu 2.45-2.60
Cu 0.0000 0.5000 0.0000  10 Cu 2.45-2.60
Cu 0.2970 0.0000 0.7030  8 Cu 2.45-2.61
Pa 0.6530 0.6530 0.6530  19 Cu 2.99-3.34
Cu 0.1003 0.1003 0.1003  7 Cu 2.50-2.68
Cu 0.8462 0.3493 0.3493  9 Cu 2.48-2.68
Cu 0.6507 0.1538 0.6507  9 Cu 2.48-2.68
Cu 0.2970 0.7030 0.0000  8 Cu 2.45-2.61
Pa 0.3470 0.3470 0.3470  19 Cu 2.99-3.34
Cu 0.0000 0.2970 0.7030  8 Cu 2.45-2.61
Cu 0.6507 0.6507 0.1538  9 Cu 2.48-2.68
Cu 0.3493 0.3493 0.8462  9 Cu 2.48-2.68
Cu 0.7030 0.0000 0.2970  8 Cu 2.45-2.61
Cu 0.7030 0.2970 0.0000  8 Cu 2.45-2.61
Cu 0.3493 0.8462 0.3493  9 Cu 2.48-2.68
Cu 0.8997 0.8997 0.8997  7 Cu 2.50-2.68

Calculated values
The value obtained for the formation energy from the elements is 0.012 eV per atom. The value obtained for the calculated density is 9.8 g/cm³. Its space group is R-3m. Its density of states at the Fermi level is 17.73 states/eV/f.u.